# Li3Mn3P4O16 (GGA+U, optimized geometry)
data_Li3Mn3P4O16
_space_group_name_H-M_alt 'P 1 21/c 1'
_space_group_IT_number 14
_space_group_name_Hall '-P 2ybc'
_cell_length_a 8.6999
_cell_length_b 5.2810
_cell_length_c 16.6652
_cell_angle_alpha 90.00
_cell_angle_beta 119.90
_cell_angle_gamma 90.00
loop_
_atom_site_label
_atom_site_type_symbol
_atom_site_fract_x
_atom_site_fract_y
_atom_site_fract_z
Li1 Li 0.0000 0.0000 0.0000
Li2 Li 0.0884 0.2246 0.2229
Mn1 Mn 0.3835 0.0284 0.1141
Mn2 Mn 0.5000 0.0000 0.5000
P1 P 0.2523 0.5092 0.4062
P2 P 0.3116 0.0105 0.6565
O1 O 0.0910 0.0368 0.8117
O2 O 0.1684 0.2122 0.6330
O3 O 0.2071 0.0606 0.9834
O4 O 0.2365 0.7472 0.6147
O5 O 0.2992 0.7026 0.9141
O6 O 0.4139 0.1630 0.9222
O7 O 0.4244 0.1047 0.6111
O8 O 0.4288 0.5059 0.2621
# - Magnetic moment: 11.935 μB/f.u.
# - Energy relative to the lowest polymorph listed for this composition: 40 meV/atom